# ScAlCr2 (PBE, optimized geometry)
data_ScAlCr2
_chemical_formula_sum 'Sc2 Al2 Cr4'
_symmetry_space_group_name_H-M 'C m m 2'
_symmetry_Int_Tables_number 35
_cell_length_a 3.123
_cell_length_b 4.525
_cell_length_c 8.504
_cell_angle_alpha 90.00
_cell_angle_beta 90.00
_cell_angle_gamma 90.00
loop_
_symmetry_equiv_pos_as_xyz
'x,y,z'
'-x,-y,z'
'-x,y,z'
'x,-y,z'
'x+1/2,y+1/2,z'
'-x+1/2,-y+1/2,z'
'-x+1/2,y+1/2,z'
'x+1/2,-y+1/2,z'
loop_
_atom_site_label
_atom_site_fract_x
_atom_site_fract_y
_atom_site_fract_z
Sc1 0.000 0.000 0.000
Al1 0.000 0.500 0.298
Cr1 0.000 0.000 0.540
Cr2 0.000 0.500 0.737
# Energy of formation in eV/atom: 0.14
# Crystal system: orthorhombic


# Sc2AlCr (PBE, optimized geometry)
data_Sc2AlCr
_chemical_formula_sum 'Sc2 Al1 Cr1'
_symmetry_space_group_name_H-M 'P 4/m m m'
_symmetry_Int_Tables_number 123
_symmetry_space_group_name_Hall '-P 4 2'
_cell_length_a 3.318
_cell_length_b 3.318
_cell_length_c 6.826
_cell_angle_alpha 90.00
_cell_angle_beta 90.00
_cell_angle_gamma 90.00
loop_
_atom_site_label
_atom_site_fract_x
_atom_site_fract_y
_atom_site_fract_z
Sc1 0.000 0.000 0.238
Al1 0.500 0.500 0.500
Cr1 0.500 0.500 0.000
# Energy of formation in eV/atom: -0.11
# Crystal system: tetragonal


# ScAl2Cr (PBE, optimized geometry)
data_ScAl2Cr
_chemical_formula_sum 'Sc1 Al2 Cr1'
_symmetry_space_group_name_H-M 'P m m m'
_symmetry_Int_Tables_number 47
_cell_length_a 2.812
_cell_length_b 3.848
_cell_length_c 5.959
_cell_angle_alpha 90.00
_cell_angle_beta 90.00
_cell_angle_gamma 90.00
loop_
_symmetry_equiv_pos_as_xyz
'x,y,z'
'-x,-y,-z'
'-x,-y,z'
'x,y,-z'
'x,-y,-z'
'-x,y,z'
'-x,y,-z'
'x,-y,z'
loop_
_atom_site_label
_atom_site_fract_x
_atom_site_fract_y
_atom_site_fract_z
Sc1 0.000 0.000 0.000
Al1 0.500 0.500 0.285
Cr1 0.000 0.000 0.500
# Energy of formation in eV/atom: -0.13
# Crystal system: orthorhombic
# ΔE to the lowest computed polymorph in eV per atom: 0.0789


# ScAlCr2 (PBE, optimized geometry)
data_ScAlCr2
_chemical_formula_sum 'Sc2 Al2 Cr4'
_symmetry_space_group_name_H-M 'C m m m'
_symmetry_Int_Tables_number 65
_symmetry_space_group_name_Hall '-C 2 2'
_cell_length_a 3.477
_cell_length_b 3.986
_cell_length_c 8.465
_cell_angle_alpha 90.00
_cell_angle_beta 90.00
_cell_angle_gamma 90.00
loop_
_atom_site_label
_atom_site_fract_x
_atom_site_fract_y
_atom_site_fract_z
Sc1 0.000 0.000 0.000
Al1 0.000 0.000 0.500
Cr1 0.000 0.500 0.270
# Energy of formation in eV/atom: 0.26
# Crystal system: orthorhombic


# Sc2AlCr (PBE, optimized geometry)
data_Sc2AlCr
_chemical_formula_sum 'Sc4 Al2 Cr2'
_symmetry_space_group_name_H-M 'I m m 2'
_symmetry_Int_Tables_number 44
_cell_length_a 3.255
_cell_length_b 4.785
_cell_length_c 9.837
_cell_angle_alpha 90.00
_cell_angle_beta 90.00
_cell_angle_gamma 90.00
loop_
_symmetry_equiv_pos_as_xyz
'x,y,z'
'-x,-y,z'
'-x,y,z'
'x,-y,z'
'x+1/2,y+1/2,z+1/2'
'-x+1/2,-y+1/2,z+1/2'
'-x+1/2,y+1/2,z+1/2'
'x+1/2,-y+1/2,z+1/2'
loop_
_atom_site_label
_atom_site_fract_x
_atom_site_fract_y
_atom_site_fract_z
Sc1 0.000 0.000 0.000
Sc2 0.000 0.500 0.216
Al1 0.000 0.500 0.758
Cr1 0.000 0.000 0.469
# Energy of formation in eV/atom: -0.04
# Crystal system: orthorhombic


# ScAlCr (PBE, optimized geometry)
data_ScAlCr
_chemical_formula_sum 'Sc4 Al4 Cr4'
_symmetry_space_group_name_H-M 'F -4 3 m'
_symmetry_Int_Tables_number 216
_symmetry_space_group_name_Hall 'F -4 2 3'
_cell_length_a 6.314
_cell_length_b 6.314
_cell_length_c 6.314
_cell_angle_alpha 90.00
_cell_angle_beta 90.00
_cell_angle_gamma 90.00
loop_
_atom_site_label
_atom_site_fract_x
_atom_site_fract_y
_atom_site_fract_z
Sc1 0.000 0.000 0.000
Al1 0.000 0.000 0.500
Cr1 0.250 0.250 0.750
# Energy of formation in eV/atom: 0.36
# Crystal system: cubic


# ScAl2Cr (PBE, optimized geometry)
data_ScAl2Cr
_chemical_formula_sum 'Sc4 Al8 Cr4'
_symmetry_space_group_name_H-M 'I -4 2 d'
_symmetry_Int_Tables_number 122
_symmetry_space_group_name_Hall 'I -4 2bw'
_cell_length_a 3.985
_cell_length_b 3.985
_cell_length_c 19.642
_cell_angle_alpha 90.00
_cell_angle_beta 90.00
_cell_angle_gamma 90.00
loop_
_atom_site_label
_atom_site_fract_x
_atom_site_fract_y
_atom_site_fract_z
Sc1 0.000 0.000 0.000
Al1 0.240 0.250 0.625
Cr1 0.000 0.000 0.500
# Energy of formation in eV/atom: 0.36
# Crystal system: tetragonal
# ΔE to the lowest computed polymorph in eV per atom: 0.5683


# ScAlCr2 (PBE, optimized geometry)
data_ScAlCr2
_chemical_formula_sum 'Sc3 Al3 Cr6'
_symmetry_space_group_name_H-M 'R -3 m'
_symmetry_Int_Tables_number 166
_symmetry_space_group_name_Hall '-R 3 2"'
_cell_length_a 2.7824
_cell_length_b 2.7824
_cell_length_c 26.7135
_cell_angle_alpha 90.00
_cell_angle_beta 90.00
_cell_angle_gamma 120.00
loop_
_atom_site_label
_atom_site_fract_x
_atom_site_fract_y
_atom_site_fract_z
Sc1 0.0000 0.0000 0.0000
Al1 0.0000 0.0000 0.5000
Cr1 0.0000 0.0000 0.2458
# Energy of formation in eV/atom: 0.42
# Crystal system: trigonal


# ScAlCr2 (PBE, optimized geometry)
data_ScAlCr2
_chemical_formula_sum 'Sc1 Al1 Cr2'
_symmetry_space_group_name_H-M 'P 1 2/m 1'
_symmetry_Int_Tables_number 10
_cell_length_a 2.717
_cell_length_b 4.446
_cell_length_c 5.063
_cell_angle_alpha 90.00
_cell_angle_beta 98.48
_cell_angle_gamma 90.00
loop_
_symmetry_equiv_pos_as_xyz
'x,y,z'
'-x,-y,-z'
'-x,y,-z'
'x,-y,z'
loop_
_atom_site_label
_atom_site_fract_x
_atom_site_fract_y
_atom_site_fract_z
Sc1 0.000 0.000 0.000
Al1 0.500 0.000 0.500
Cr1 0.315 0.500 0.779
# Energy of formation in eV/atom: 0.24
# Crystal system: monoclinic


# ScAl2Cr (PBE, optimized geometry)
data_ScAl2Cr
_chemical_formula_sum 'Sc1 Al2 Cr1'
_symmetry_space_group_name_H-M 'P 4 m m'
_symmetry_Int_Tables_number 99
_cell_length_a 3.141
_cell_length_b 3.141
_cell_length_c 6.862
_cell_angle_alpha 90.00
_cell_angle_beta 90.00
_cell_angle_gamma 90.00
loop_
_symmetry_equiv_pos_as_xyz
'x,y,z'
'-y,x,z'
'-x,-y,z'
'y,-x,z'
'-x,y,z'
'y,x,z'
'x,-y,z'
'-y,-x,z'
loop_
_atom_site_label
_atom_site_fract_x
_atom_site_fract_y
_atom_site_fract_z
Sc1 0.000 0.000 0.000
Al1 0.000 0.000 0.540
Al2 0.500 0.500 0.298
Cr1 0.500 0.500 0.739
# Energy of formation in eV/atom: -0.07
# Crystal system: tetragonal
# ΔE to the lowest computed polymorph in eV per atom: 0.1380


# Sc2AlCr (PBE, optimized geometry)
data_Sc2AlCr
_chemical_formula_sum 'Sc6 Al3 Cr3'
_symmetry_space_group_name_H-M 'R -3 m'
_symmetry_Int_Tables_number 166
_symmetry_space_group_name_Hall '-R 3 2"'
_cell_length_a 3.1203
_cell_length_b 3.1203
_cell_length_c 27.6529
_cell_angle_alpha 90.00
_cell_angle_beta 90.00
_cell_angle_gamma 120.00
loop_
_atom_site_label
_atom_site_fract_x
_atom_site_fract_y
_atom_site_fract_z
Sc1 0.0000 0.0000 0.2448
Al1 0.0000 0.0000 0.0000
Cr1 0.0000 0.0000 0.5000
# Energy of formation in eV/atom: 0.13
# Crystal system: trigonal


# ScAlCr2 (PBE, optimized geometry)
data_ScAlCr2
_chemical_formula_sum 'Sc4 Al4 Cr8'
_symmetry_space_group_name_H-M 'F -4 3 m'
_symmetry_Int_Tables_number 216
_symmetry_space_group_name_Hall 'F -4 2 3'
_cell_length_a 6.332
_cell_length_b 6.332
_cell_length_c 6.332
_cell_angle_alpha 90.00
_cell_angle_beta 90.00
_cell_angle_gamma 90.00
loop_
_atom_site_label
_atom_site_fract_x
_atom_site_fract_y
_atom_site_fract_z
Sc1 0.000 0.000 0.000
Al1 0.250 0.250 0.250
Cr1 0.000 0.000 0.500
Cr2 0.250 0.250 0.750
# Energy of formation in eV/atom: -0.04
# Crystal system: cubic